No. 1
## Pr3Ge2BRu3 (PBE)

Data for a relaxed Pr3Ge2BRu3 crystal.

Computed properties:
Size of the total moment, μB/f.u.: 0.00
Energy of formation, eV/atom: -0.33
Mass density, Mg/m³: 8.348
V, Å³ per cell: 175.5
Energy, eV per cell: -61.03

Cell and atoms, written as POSCAR:
```
Pr3Ge2BRu3
1.0
7.3883 0.0000 0.0000
-3.6941 6.3984 0.0000
0.0000 0.0000 3.7115
Pr Ge B Ru
3 2 1 3
direct
0.0000 0.3737 0.0000
0.3737 0.0000 0.0000
0.6263 0.6263 0.0000
0.3333 0.6667 0.5000
0.6667 0.3333 0.5000
0.0000 0.0000 0.0000
0.0000 0.7840 0.5000
0.2160 0.2160 0.5000
0.7840 0.0000 0.5000
```



No. 2
## Mg2PaIn (PBE)

Data for a relaxed Mg2PaIn crystal.

Computed properties:
Size of the total moment, μB/f.u.: 0.45
Energy of formation, eV/atom: 0.09
Energy above the most stable polymorph in this dataset, kcal/mol of atoms: 0.000
Mass density, Mg/m³: 6.948
V, Å³ per cell: 94.3
Energy, eV per cell: -15.05

Cell and atoms, written as POSCAR:
```
Mg2PaIn
1.0
3.0967 0.0000 0.0000
0.0000 3.0967 0.0000
0.0000 0.0000 9.8307
Mg Pa In
2 1 1
direct
0.0000 0.0000 0.2387
0.0000 0.0000 0.7613
0.5000 0.5000 0.5000
0.5000 0.5000 0.0000
```



No. 3
## CaHgIr2 (PBE)

Data for a relaxed CaHgIr2 crystal.

Computed properties:
Size of the total moment, μB/f.u.: 0.00
Energy of formation, eV/atom: 0.23
Mass density, Mg/m³: 14.235
V, Å³ per cell: 72.9
Energy, eV per cell: -19.09

Cell and atoms, written as POSCAR:
```
CaHgIr2
1.0
2.9324 -4.1166 0.0000
2.9324 4.1166 0.0000
0.0000 0.0000 3.0202
Ca Hg Ir
1 1 2
direct
0.0000 0.0000 0.0000
0.5000 0.5000 0.0000
0.0000 0.5000 0.5000
0.5000 0.0000 0.5000
```



No. 4
## SbSCl (PBE)

Data for a relaxed SbSCl crystal.

Computed properties:
Size of the total moment, μB/f.u.: 0.00
Mass density, Mg/m³: 3.294
Energy relative to the elements, uncorrected, eV per formula unit: -1.5
V, Å³ per cell: 190.8
Energy, eV per cell: -23.29

Cell and atoms, written as POSCAR:
```
SbSCl
1.0
4.4611 0.0000 0.0000
0.0000 5.5867 0.0000
-0.3197 0.0000 7.6571
Sb S Cl
2 2 2
direct
0.1299 0.0000 0.3339
0.8701 0.5000 0.6661
0.2355 0.4218 0.4337
0.7645 0.9218 0.5663
0.2601 0.6236 0.8845
0.7399 0.1236 0.1155
```



No. 5
## La3PrHo4 (PBE)

Data for a relaxed La3PrHo4 crystal.

Computed properties:
Size of the total moment, μB/f.u.: 0.00
Energy of formation, eV/atom: 0.14
Energy above the most stable polymorph in this dataset, kcal/mol of atoms: 2.348
Mass density, Mg/m³: 7.378
V, Å³ per cell: 274.0
Energy, eV per cell: -36.79

Cell and atoms, written as POSCAR:
```
La3PrHo4
1.0
-1.7397 5.9232 6.6476
1.7397 -5.9232 6.6476
1.7397 5.9232 -6.6476
La Pr Ho
3 1 4
direct
0.0000 0.0000 0.0000
0.2575 0.7575 0.5000
0.7425 0.2425 0.5000
0.5000 0.5000 0.0000
0.1162 0.3652 0.7511
0.3859 0.6348 0.7511
0.6141 0.3652 0.2489
0.8838 0.6348 0.2489
```



No. 6
## Ba2RhPbI (PBE)

Data for a relaxed Ba2RhPbI crystal.

Computed properties:
Size of the total moment, μB/f.u.: 0.00
Energy above the most stable polymorph in this dataset, kcal/mol of atoms: 9.277
Mass density, Mg/m³: 5.251
Energy relative to the elements, uncorrected, eV per formula unit: -1.5
V, Å³ per cell: 225.0
Energy, eV per cell: -17.97

Cell and atoms, written as POSCAR:
```
Ba2RhPbI
1.0
6.6940 0.0000 0.0000
0.0000 6.6940 0.0000
0.0000 0.0000 5.0222
Ba Rh Pb I
2 1 1 1
direct
0.0000 0.5000 0.0000
0.5000 0.0000 0.0000
0.0000 0.0000 0.5000
0.0000 0.0000 0.0000
0.5000 0.5000 0.5000
```



No. 7
## In2GeMo2 (PBE)

Data for a relaxed In2GeMo2 crystal.

Computed properties:
Size of the total moment, μB/f.u.: 0.00
Energy of formation, eV/atom: 0.14
Mass density, Mg/m³: 8.508
V, Å³ per cell: 192.9
Energy, eV per cell: -62.13

Cell and atoms, written as POSCAR:
```
In2GeMo2
1.0
6.5458 0.0000 0.0000
0.0000 6.5458 0.0000
0.0000 0.0000 4.5017
In Ge Mo
4 2 4
direct
0.1673 0.3327 0.0000
0.3327 0.8327 0.0000
0.6673 0.1673 0.0000
0.8327 0.6673 0.0000
0.0000 0.0000 0.5000
0.5000 0.5000 0.5000
0.1354 0.6354 0.5000
0.3646 0.1354 0.5000
0.6354 0.8646 0.5000
0.8646 0.3646 0.5000
```



No. 8
## La3Ga4Ag4 (PBE)

Data for a relaxed La3Ga4Ag4 crystal.

Computed properties:
Size of the total moment, μB/f.u.: 0.00
Energy of formation, eV/atom: -0.44
Mass density, Mg/m³: 7.359
V, Å³ per cell: 254.3
Energy, eV per cell: -43.11

Cell and atoms, written as POSCAR:
```
La3Ga4Ag4
1.0
3.9620 0.0000 0.0000
0.0070 4.6287 0.0000
1.9802 2.3047 13.8683
La Ga Ag
3 4 4
direct
0.0000 0.0000 0.0000
0.1456 0.6463 0.7086
0.8544 0.3537 0.2914
0.3096 0.8087 0.3808
0.4540 0.4522 0.0951
0.5460 0.5478 0.9049
0.6904 0.1913 0.6192
0.2555 0.2553 0.4890
0.4052 0.9050 0.1892
0.5948 0.0950 0.8108
0.7445 0.7447 0.5110
```



Copy entry 8 word for word.
## La3Ga4Ag4 (PBE)

Data for a relaxed La3Ga4Ag4 crystal.

Computed properties:
Size of the total moment, μB/f.u.: 0.00
Energy of formation, eV/atom: -0.44
Mass density, Mg/m³: 7.359
V, Å³ per cell: 254.3
Energy, eV per cell: -43.11

Cell and atoms, written as POSCAR:
```
La3Ga4Ag4
1.0
3.9620 0.0000 0.0000
0.0070 4.6287 0.0000
1.9802 2.3047 13.8683
La Ga Ag
3 4 4
direct
0.0000 0.0000 0.0000
0.1456 0.6463 0.7086
0.8544 0.3537 0.2914
0.3096 0.8087 0.3808
0.4540 0.4522 0.0951
0.5460 0.5478 0.9049
0.6904 0.1913 0.6192
0.2555 0.2553 0.4890
0.4052 0.9050 0.1892
0.5948 0.0950 0.8108
0.7445 0.7447 0.5110
```